{
  "formula": "SrCdIr3",
  "functional": "GGA-PBE",
  "state": "optimized geometry",
  "e_tot_ev_per_atom": -3.39,
  "relative_energy_mev_per_atom": 1043,
  "m_tot_mub_per_fu": 1.05,
  "formation_enthalpy_0k_mev_per_atom": 2451.0,
  "lattice": [[4.985, 0.000, 0.000], [0.000, 4.985, 0.000], [0.000, 0.000, 4.985]],
  "species": ["Ir", "Ir", "Ir", "Sr", "Cd"],
  "frac_coords": [[0.000, 0.500, 0.000], [0.500, 0.000, 0.000], [0.000, 0.000, 0.500], [0.000, 0.000, 0.000], [0.500, 0.500, 0.500]]
}

***

{
  "formula": "ZnWAu2",
  "functional": "GGA-PBE",
  "state": "optimized geometry",
  "e_tot_ev_per_atom": -4.91,
  "m_tot_mub_per_fu": 0.00,
  "formation_enthalpy_0k_mev_per_atom": 287.4,
  "lattice": [[-0.928, -3.216, -3.143], [-0.150, -1.929, 2.018], [-5.055, 0.940, 0.531]],
  "species": ["Au", "Au", "W", "Zn"],
  "frac_coords": [[0.500, 0.125, 0.294], [0.000, 0.124, 0.953], [0.000, 0.624, 0.466], [0.500, 0.627, 0.787]]
}

***

{
  "formula": "Tb8SmC4",
  "functional": "GGA-PBE",
  "state": "optimized geometry",
  "e_tot_ev_per_atom": -6.20,
  "m_tot_mub_per_fu": 0.43,
  "formation_enthalpy_0k_mev_per_atom": -153.6,
  "lattice": [[3.532, 0.000, 0.765], [1.614, 9.068, 1.084], [-0.203, -0.049, 9.473]],
  "species": ["C", "C", "C", "C", "Sm", "Tb", "Tb", "Tb", "Tb", "Tb", "Tb", "Tb", "Tb"],
  "frac_coords": [[0.366, 0.831, 0.436], [0.665, 0.172, 0.498], [0.848, 0.510, 0.793], [0.183, 0.493, 0.140], [0.516, 0.002, 0.967], [0.877, 0.682, 0.564], [0.222, 0.654, 0.902], [0.155, 0.321, 0.369], [0.180, 0.021, 0.619], [0.474, 0.353, 0.699], [0.851, 0.982, 0.315], [0.557, 0.650, 0.235], [0.809, 0.350, 0.031]]
}